Crystalline Sm8Tl2Ru3 at its relaxed geometry. Source: Alexandria, functional PBE.

Cell lengths 5.056, 9.966, 8.878 Å; angles 122.67, 90.00, 90.00 degrees
Element x y z (fractional)
Sm1 0.000 0.614 0.221
Sm2 0.000 0.386 0.779
Sm3 0.500 0.644 0.788
Sm4 0.000 0.117 0.225
Sm5 0.000 0.883 0.775
Sm6 0.500 0.126 0.770
Sm7 0.500 0.356 0.212
Sm8 0.500 0.874 0.230
Tl1 0.500 0.261 0.512
Tl2 0.500 0.739 0.488
Ru1 0.000 0.247 0.995
Ru2 0.500 0.000 0.000
Ru3 0.000 0.753 0.005

- ρ: 8.4 g/cm³
- ΔE_f: -2.39 eV per formula unit